VASP calculation (PBE) on a relaxed structure of Na2SmIrO4.

Output
Space group = No. 82
N(E_F) = 5.08 states/eV per cell
Energy relative to the elements, uncorrected = -1730 meV/atom
Magnetic moment = 0.25 μB/atom

abc: 5.287 5.287 5.287
angles: 103.59 112.49 112.49
Atoms (fractional coordinates):
O1 0.093 0.788 0.323
O2 0.465 0.677 0.770
O3 0.907 0.230 0.694
O4 0.535 0.306 0.212
Na1 0.000 0.000 0.000
Na2 0.500 0.750 0.250
Ir1 0.000 0.500 0.500
Sm1 0.500 0.250 0.750